1.
The following is a PBE calculation of a geometry-optimized CaLu2Ag structure, from the Alexandria database.

Calculated values
Total DFT energy (no corrections) (Ry per atom): -0.260
E_form (eV/atom): -0.070

a b c (Å): 3.5637 3.5637 9.2007
angles (deg): 90.00 90.00 90.00
Fractional coordinates of all 4 atoms:
Lu1 0.0000 0.0000 0.1889
Lu2 0.0000 0.0000 0.8111
Ca1 0.5000 0.5000 0.5000
Ag1 0.5000 0.5000 0.0000

2.
The following is a PBE calculation of a geometry-optimized CaLu2Ag structure, from the Alexandria database.

Calculated values
Total DFT energy (no corrections) (Ry per atom): -0.242
E_form (eV/atom): 0.183

a b c (Å): 3.5380 3.5380 11.2509
angles (deg): 80.95 80.95 60.00
Fractional coordinates of all 4 atoms:
Ag1 0.5000 0.5000 0.5000
Ca1 0.0000 0.0000 0.0000
Lu1 0.8998 0.8998 0.3007
Lu2 0.1002 0.1002 0.6993

3.
The following is a PBE calculation of a geometry-optimized CaLuAg4 structure, from the Alexandria database.

Calculated values
Total DFT energy (no corrections) (Ry per atom): -0.232
E_form (eV/atom): -0.169

a b c (Å): 5.7064 5.7064 5.7064
angles (deg): 60.00 60.00 60.00
Fractional coordinates of all 6 atoms:
Ag1 0.6250 0.6250 0.1250
Lu1 0.0000 0.0000 0.0000
Ca1 0.2500 0.2500 0.2500
Ag2 0.1250 0.6250 0.6250
Ag3 0.6250 0.1250 0.6250
Ag4 0.6250 0.6250 0.6250

4.
The following is a PBE calculation of a geometry-optimized CaLuAgPb structure, from the Alexandria database.

Calculated values
Total DFT energy (no corrections) (Ry per atom): -0.270
E_form (eV/atom): -0.407

a b c (Å): 5.2809 5.2809 5.2809
angles (deg): 60.00 60.00 60.00
Fractional coordinates of all 4 atoms:
Lu1 0.0000 0.0000 0.0000
Ca1 0.5000 0.5000 0.5000
Ag1 0.2500 0.2500 0.2500
Pb1 0.7500 0.7500 0.7500

5.
The following is a PBE calculation of a geometry-optimized CaLuTlAg structure, from the Alexandria database.

Calculated values
Total DFT energy (no corrections) (Ry per atom): -0.239
E_form (eV/atom): -0.323

a b c (Å): 5.2440 5.2440 5.2440
angles (deg): 60.00 60.00 60.00
Fractional coordinates of all 4 atoms:
Ca1 0.5000 0.5000 0.5000
Tl1 0.2500 0.2500 0.2500
Ag1 0.7500 0.7500 0.7500
Lu1 0.0000 0.0000 0.0000

6.
The following is a PBE calculation of a geometry-optimized CaLuZnAg structure, from the Alexandria database.

Calculated values
Total DFT energy (no corrections) (Ry per atom): -0.215
E_form (eV/atom): -0.269

a b c (Å): 5.0820 5.0820 5.0820
angles (deg): 60.00 60.00 60.00
Fractional coordinates of all 4 atoms:
Zn1 0.7500 0.7500 0.7500
Ca1 0.5000 0.5000 0.5000
Ag1 0.2500 0.2500 0.2500
Lu1 0.0000 0.0000 0.0000

7.
The following is a PBE calculation of a geometry-optimized Ca2MgAg2 structure, from the Alexandria database.

Calculated values
Total DFT energy (no corrections) (Ry per atom): -0.171
E_form (eV/atom): -0.070

a b c (Å): 8.7532 8.7532 3.5125
angles (deg): 90.00 90.00 90.00
Fractional coordinates of all 10 atoms:
Ag1 0.6406 0.8594 0.5000
Ca1 0.8476 0.6524 0.0000
Ag2 0.1406 0.6406 0.5000
Mg1 0.5000 0.5000 0.0000
Ag3 0.8594 0.3594 0.5000
Ca2 0.3476 0.8476 0.0000
Mg2 0.0000 0.0000 0.0000
Ca3 0.6524 0.1524 0.0000
Ag4 0.3594 0.1406 0.5000
Ca4 0.1524 0.3476 0.0000

8.
The following is a PBE calculation of a geometry-optimized CaMg3Ag4 structure, from the Alexandria database.

Calculated values
Total DFT energy (no corrections) (Ry per atom): -0.184
E_form (eV/atom): -0.227

a b c (Å): 4.8281 6.9887 9.6574
angles (deg): 90.00 90.00 90.00
Fractional coordinates of all 16 atoms:
Ca1 0.0000 0.5000 0.0000
Ag1 0.9989 0.2265 0.2500
Mg1 0.4992 0.0000 0.2500
Ca2 0.0000 0.5000 0.5000
Mg2 0.5008 0.0000 0.7500
Ag2 0.5000 0.7735 0.5000
Ag3 0.5000 0.7735 0.0000
Mg3 0.0000 0.0000 0.5000
Ag4 0.5000 0.2265 0.5000
Mg4 0.4997 0.5000 0.2500
Ag5 0.0011 0.2265 0.7500
Mg5 0.0000 0.0000 0.0000
Ag6 0.9989 0.7735 0.2500
Ag7 0.0011 0.7735 0.7500
Mg6 0.5003 0.5000 0.7500
Ag8 0.5000 0.2265 0.0000

9.
The following is a PBE calculation of a geometry-optimized CaMgAg2 structure, from the Alexandria database.

Calculated values
Total DFT energy (no corrections) (Ry per atom): -0.176
E_form (eV/atom): -0.064

a b c (Å): 4.1765 4.1765 7.3138
angles (deg): 73.41 73.41 60.00
Fractional coordinates of all 4 atoms:
Ag1 0.2362 0.2362 0.2914
Mg1 0.4962 0.4962 0.5114
Ag2 0.0974 0.0974 0.7078
Ca1 0.6702 0.6702 0.9894

10.
The following is a PBE calculation of a geometry-optimized Ca2MgAg structure, from the Alexandria database.

Calculated values
Total DFT energy (no corrections) (Ry per atom): -0.158
E_form (eV/atom): -0.043

a b c (Å): 5.2910 5.2910 5.2910
angles (deg): 60.00 60.00 60.00
Fractional coordinates of all 4 atoms:
Ca1 0.2500 0.2500 0.2500
Ca2 0.0000 0.0000 0.0000
Mg1 0.7500 0.7500 0.7500
Ag1 0.5000 0.5000 0.5000

11.
The following is a PBE calculation of a geometry-optimized CaMg3Ag structure, from the Alexandria database.

Calculated values
Total DFT energy (no corrections) (Ry per atom): -0.141
E_form (eV/atom): 0.004

a b c (Å): 5.1758 5.1758 5.1758
angles (deg): 90.00 90.00 90.00
Fractional coordinates of all 5 atoms:
Mg1 0.5000 0.0000 0.0000
Mg2 0.0000 0.0000 0.5000
Mg3 0.0000 0.5000 0.0000
Ca1 0.5000 0.5000 0.5000
Ag1 0.0000 0.0000 0.0000

12.
The following is a PBE calculation of a geometry-optimized CaMgAg4 structure, from the Alexandria database.

Calculated values
Total DFT energy (no corrections) (Ry per atom): -0.197
E_form (eV/atom): -0.173

a b c (Å): 4.7590 4.7590 6.5989
angles (deg): 90.00 90.00 120.00
Fractional coordinates of all 6 atoms:
Ag1 0.6667 0.3333 0.7800
Ag2 0.3333 0.6667 0.2200
Ag3 0.3333 0.6667 0.7800
Ag4 0.6667 0.3333 0.2200
Ca1 0.0000 0.0000 0.5000
Mg1 0.0000 0.0000 0.0000

What did we get for magnetic moment? Answer: 0.000, 0.000, 0.000, 0.000, 0.000, 0.000, 0.000, 0.000, 0.000, 0.000, 0.000, 0.000 μB/atom, in the order shown.